Record 1
Density functional theory data (PBE) for a relaxed structure of Nd3Tm2Zn3.

Geometry as POSCAR:
```
Nd3Tm2Zn3
1.0
3.651 0.000 0.000
0.000 5.311 0.000
0.000 0.000 21.664
Nd Tm Zn
6 4 6
Direct
0.000 0.000 0.000 Nd
0.000 0.500 0.120 Nd
0.000 0.500 0.880 Nd
0.500 0.000 0.380 Nd
0.500 0.000 0.620 Nd
0.500 0.500 0.500 Nd
0.000 0.000 0.230 Tm
0.000 0.000 0.770 Tm
0.500 0.500 0.270 Tm
0.500 0.500 0.730 Tm
0.000 0.000 0.500 Zn
0.000 0.500 0.379 Zn
0.000 0.500 0.621 Zn
0.500 0.000 0.121 Zn
0.500 0.000 0.879 Zn
0.500 0.500 0.000 Zn
```


Record 2
NdTm2Zn2 (PBE, optimized geometry); ΔE to the lowest computed polymorph = 0 meV/atom
1.0
3.599 0.000 0.000
0.000 5.197 0.000
-1.799 0.000 13.207
Nd Tm Zn
2 4 4
Direct
0.144 0.250 0.287 Nd
0.856 0.750 0.713 Nd
0.046 0.750 0.093 Tm
0.233 0.750 0.465 Tm
0.767 0.250 0.535 Tm
0.954 0.250 0.907 Tm
0.360 0.250 0.720 Zn
0.455 0.750 0.909 Zn
0.545 0.250 0.091 Zn
0.640 0.750 0.280 Zn


Record 3
Density functional theory data (PBE) for a relaxed structure of Nd5TmZn4.

Geometry as POSCAR:
```
Nd5TmZn4
1.0
3.680 0.000 0.000
0.000 3.680 0.000
0.000 0.000 19.684
Nd Tm Zn
5 1 4
Direct
0.000 0.000 0.000 Nd
0.000 0.000 0.187 Nd
0.000 0.000 0.373 Nd
0.000 0.000 0.627 Nd
0.000 0.000 0.813 Nd
0.500 0.500 0.500 Tm
0.500 0.500 0.094 Zn
0.500 0.500 0.281 Zn
0.500 0.500 0.719 Zn
0.500 0.500 0.906 Zn
```


Record 4
Nd3TmZn2 (PBE, optimized geometry); ΔE to the lowest computed polymorph = 249 meV/atom
1.0
-3.512 7.308 3.646
3.512 -7.308 3.646
3.512 7.308 -3.646
Nd Tm Zn
6 2 4
Direct
0.024 0.750 0.274 Nd
0.250 0.250 0.000 Nd
0.476 0.750 0.726 Nd
0.524 0.250 0.274 Nd
0.750 0.750 0.000 Nd
0.976 0.250 0.726 Nd
0.000 0.500 0.500 Tm
0.500 0.000 0.500 Tm
0.136 0.208 0.344 Zn
0.364 0.708 0.072 Zn
0.636 0.292 0.928 Zn
0.864 0.792 0.656 Zn


Record 5
Density functional theory data (PBE) for a relaxed structure of NdTm3Zn.

Geometry as POSCAR:
```
NdTm3Zn
1.0
5.807 -4.133 0.000
5.807 4.133 0.000
-4.328 0.000 6.309
Nd Tm Zn
2 6 2
Direct
0.052 0.052 0.305 Nd
0.948 0.948 0.695 Nd
0.115 0.520 0.289 Tm
0.421 0.421 0.730 Tm
0.480 0.885 0.711 Tm
0.520 0.115 0.289 Tm
0.579 0.579 0.270 Tm
0.885 0.480 0.711 Tm
0.274 0.274 0.938 Zn
0.726 0.726 0.062 Zn
```


Record 6
Density functional theory data (PBE) for a relaxed structure of Nd3TmZn8.

Geometry as POSCAR:
```
Nd3TmZn8
1.0
2.775 1.602 9.020
-2.775 1.602 9.020
0.000 -3.204 9.020
Nd Tm Zn
3 1 8
Direct
0.000 0.000 0.000 Nd
0.125 0.125 0.125 Nd
0.626 0.626 0.626 Nd
0.501 0.501 0.501 Tm
0.063 0.063 0.560 Zn
0.063 0.560 0.063 Zn
0.067 0.563 0.563 Zn
0.313 0.313 0.313 Zn
0.560 0.063 0.063 Zn
0.563 0.067 0.563 Zn
0.563 0.563 0.067 Zn
0.813 0.813 0.813 Zn
```


Record 7
Density functional theory data (PBE) for a relaxed structure of Nd4Tm5Zn.

Geometry as POSCAR:
```
Nd4Tm5Zn
1.0
3.573 0.000 0.000
0.000 3.573 0.000
0.000 0.000 23.840
Nd Tm Zn
4 5 1
Direct
0.000 0.000 0.106 Nd
0.000 0.000 0.319 Nd
0.000 0.000 0.681 Nd
0.000 0.000 0.894 Nd
0.500 0.500 0.000 Tm
0.500 0.500 0.213 Tm
0.500 0.500 0.428 Tm
0.500 0.500 0.572 Tm
0.500 0.500 0.787 Tm
0.000 0.000 0.500 Zn
```


Record 8
Density functional theory data (PBE) for a relaxed structure of Nd6TmZn2.

Geometry as POSCAR:
```
Nd6TmZn2
1.0
6.402 -1.858 0.000
6.402 1.858 0.000
-4.074 0.000 11.365
Nd Tm Zn
6 1 2
Direct
0.029 0.029 0.325 Nd
0.311 0.311 0.124 Nd
0.312 0.312 0.407 Nd
0.688 0.688 0.593 Nd
0.689 0.689 0.876 Nd
0.971 0.971 0.675 Nd
0.000 0.000 0.000 Tm
0.358 0.358 0.810 Zn
0.642 0.642 0.190 Zn
```


Record 9
Nd2TmZn (PBE, optimized geometry); ΔE to the lowest computed polymorph = 167 meV/atom
1.0
7.677 0.000 0.000
0.000 7.677 0.000
0.000 0.000 7.677
Nd Tm Zn
8 4 4
Direct
0.250 0.250 0.250 Nd
0.250 0.250 0.750 Nd
0.250 0.750 0.250 Nd
0.250 0.750 0.750 Nd
0.750 0.250 0.250 Nd
0.750 0.250 0.750 Nd
0.750 0.750 0.250 Nd
0.750 0.750 0.750 Nd
0.000 0.000 0.000 Tm
0.000 0.500 0.500 Tm
0.500 0.000 0.500 Tm
0.500 0.500 0.000 Tm
0.000 0.000 0.500 Zn
0.000 0.500 0.000 Zn
0.500 0.000 0.000 Zn
0.500 0.500 0.500 Zn


Record 10
Density functional theory data (PBE) for a relaxed structure of Nd2Tm2Zn.

Geometry as POSCAR:
```
Nd2Tm2Zn
1.0
3.561 0.000 0.000
0.000 3.561 0.000
0.000 0.000 22.752
Nd Tm Zn
4 4 2
Direct
0.000 0.000 0.191 Nd
0.000 0.000 0.809 Nd
0.500 0.500 0.309 Nd
0.500 0.500 0.691 Nd
0.000 0.000 0.424 Tm
0.000 0.000 0.576 Tm
0.500 0.500 0.076 Tm
0.500 0.500 0.924 Tm
0.000 0.000 0.000 Zn
0.500 0.500 0.500 Zn
```


Record 11
NdTmZn2 (PBE, optimized geometry); ΔE to the lowest computed polymorph = 0 meV/atom
1.0
3.567 0.000 0.000
0.000 3.567 0.000
0.000 0.000 7.345
Nd Tm Zn
1 1 2
Direct
0.000 0.000 0.000 Nd
0.000 0.000 0.500 Tm
0.500 0.500 0.274 Zn
0.500 0.500 0.726 Zn


Record 12
Nd2TmZn (PBE, optimized geometry); ΔE to the lowest computed polymorph = 23 meV/atom
1.0
3.658 0.000 0.000
0.000 3.658 0.000
0.000 0.000 8.669
Nd Tm Zn
2 1 1
Direct
0.000 0.000 0.213 Nd
0.000 0.000 0.787 Nd
0.500 0.500 0.500 Tm
0.500 0.500 0.000 Zn


Record 13
NdTm2Zr (PBE, optimized geometry); ΔE to the lowest computed polymorph = 85 meV/atom
1.0
3.976 0.000 0.000
0.000 3.976 0.000
0.000 0.000 7.451
Nd Tm Zr
1 2 1
Direct
0.000 0.000 0.000 Nd
0.500 0.500 0.281 Tm
0.500 0.500 0.719 Tm
0.000 0.000 0.500 Zr


Record 14
NdTm2Zr (PBE, optimized geometry); ΔE to the lowest computed polymorph = 133 meV/atom
1.0
7.753 0.000 0.000
0.000 7.753 0.000
0.000 0.000 7.753
Nd Tm Zr
4 8 4
Direct
0.000 0.000 0.000 Nd
0.000 0.500 0.500 Nd
0.500 0.000 0.500 Nd
0.500 0.500 0.000 Nd
0.250 0.250 0.250 Tm
0.250 0.250 0.750 Tm
0.250 0.750 0.250 Tm
0.250 0.750 0.750 Tm
0.750 0.250 0.250 Tm
0.750 0.250 0.750 Tm
0.750 0.750 0.250 Tm
0.750 0.750 0.750 Tm
0.000 0.000 0.500 Zr
0.000 0.500 0.000 Zr
0.500 0.000 0.000 Zr
0.500 0.500 0.500 Zr


Record 15
NdTm2Zr (PBE, optimized geometry); ΔE to the lowest computed polymorph = 0 meV/atom
1.0
3.457 0.000 0.000
-1.729 2.994 0.000
0.000 0.000 33.739
Nd Tm Zr
3 6 3
Direct
0.000 0.000 0.000 Nd
0.333 0.667 0.667 Nd
0.667 0.333 0.333 Nd
0.000 0.000 0.244 Tm
0.000 0.000 0.424 Tm
0.333 0.667 0.090 Tm
0.333 0.667 0.911 Tm
0.667 0.333 0.578 Tm
0.667 0.333 0.757 Tm
0.000 0.000 0.834 Zr
0.333 0.667 0.501 Zr
0.667 0.333 0.167 Zr


Record 16
Density functional theory data (PBE) for a relaxed structure of Nd2Tm4Zr.

Geometry as POSCAR:
```
Nd2Tm4Zr
1.0
1.768 1.020 19.657
-1.768 1.020 19.657
0.000 -2.041 19.657
Nd Tm Zr
2 4 1
Direct
0.000 0.000 0.000 Nd
0.099 0.099 0.099 Nd
0.196 0.196 0.196 Tm
0.283 0.283 0.283 Tm
0.715 0.715 0.715 Tm
0.815 0.815 0.815 Tm
0.906 0.906 0.906 Zr
```


Record 17
Density functional theory data (PBE) for a relaxed structure of NdTm14Zr.

Geometry as POSCAR:
```
NdTm14Zr
1.0
6.967 0.000 0.000
0.000 6.967 0.000
0.000 0.000 9.785
Nd Tm Zr
1 14 1
Direct
0.000 0.000 0.000 Nd
0.000 0.000 0.500 Tm
0.000 0.500 0.000 Tm
0.000 0.500 0.500 Tm
0.255 0.255 0.246 Tm
0.255 0.255 0.754 Tm
0.255 0.745 0.246 Tm
0.255 0.745 0.754 Tm
0.500 0.000 0.000 Tm
0.500 0.000 0.500 Tm
0.500 0.500 0.500 Tm
0.745 0.255 0.246 Tm
0.745 0.255 0.754 Tm
0.745 0.745 0.246 Tm
0.745 0.745 0.754 Tm
0.500 0.500 0.000 Zr
```


Record 18
Density functional theory data (PBE) for a relaxed structure of Nd3Tm6Zr.

Geometry as POSCAR:
```
Nd3Tm6Zr
1.0
11.108 0.000 0.000
0.000 4.939 0.000
-0.024 0.000 11.155
Nd Tm Zr
6 12 2
Direct
0.002 0.250 0.247 Nd
0.203 0.750 0.349 Nd
0.401 0.250 0.450 Nd
0.599 0.750 0.550 Nd
0.797 0.250 0.651 Nd
0.998 0.750 0.753 Nd
0.101 0.250 0.555 Tm
0.108 0.750 0.047 Tm
0.206 0.250 0.856 Tm
0.303 0.750 0.664 Tm
0.313 0.250 0.137 Tm
0.496 0.250 0.769 Tm
0.504 0.750 0.231 Tm
0.687 0.750 0.863 Tm
0.697 0.250 0.336 Tm
0.794 0.750 0.144 Tm
0.892 0.250 0.953 Tm
0.899 0.750 0.445 Tm
0.407 0.750 0.955 Zr
0.593 0.250 0.045 Zr
```


Record 19
Density functional theory data (PBE) for a relaxed structure of NdTm6Zr.

Geometry as POSCAR:
```
NdTm6Zr
1.0
6.968 0.000 0.000
0.000 6.968 0.000
0.000 0.000 4.847
Nd Tm Zr
1 6 1
Direct
0.000 0.000 0.000 Nd
0.000 0.500 0.000 Tm
0.260 0.260 0.500 Tm
0.260 0.740 0.500 Tm
0.500 0.000 0.000 Tm
0.740 0.260 0.500 Tm
0.740 0.740 0.500 Tm
0.500 0.500 0.000 Zr
```


Record 20
NdTm3Zr (PBE, optimized geometry); ΔE to the lowest computed polymorph = 23 meV/atom
1.0
5.988 0.000 0.000
1.997 6.667 0.000
1.909 1.229 7.320
Nd Tm Zr
2 6 2
Direct
0.094 0.164 0.290 Nd
0.906 0.836 0.710 Nd
0.102 0.646 0.283 Tm
0.309 0.940 0.901 Tm
0.500 0.262 0.503 Tm
0.500 0.738 0.497 Tm
0.691 0.060 0.099 Tm
0.898 0.354 0.717 Tm
0.320 0.456 0.900 Zr
0.680 0.544 0.100 Zr


Record 21
NdTmZr (PBE, optimized geometry); ΔE to the lowest computed polymorph = 10 meV/atom
1.0
3.434 0.000 0.000
-1.717 2.974 0.000
0.000 0.000 8.457
Nd Tm Zr
1 1 1
Direct
0.000 0.000 0.000 Nd
0.333 0.667 0.630 Tm
0.667 0.333 0.322 Zr


Record 22
NdTmZr (PBE, optimized geometry); ΔE to the lowest computed polymorph = 0 meV/atom
1.0
3.398 0.000 0.000
0.000 3.398 0.000
0.000 0.000 15.020
Nd Tm Zr
2 2 2
Direct
0.000 0.000 0.000 Nd
0.500 0.500 0.500 Nd
0.000 0.000 0.688 Tm
0.500 0.500 0.188 Tm
0.000 0.000 0.337 Zr
0.500 0.500 0.837 Zr


Record 23
NdTm2Zr (PBE, optimized geometry); ΔE to the lowest computed polymorph = 26 meV/atom
1.0
4.874 0.000 0.000
0.000 4.874 0.000
0.000 0.000 4.862
Nd Tm Zr
1 2 1
Direct
0.000 0.000 0.000 Nd
0.000 0.500 0.500 Tm
0.500 0.000 0.500 Tm
0.500 0.500 0.000 Zr


Record 24
Density functional theory data (PBE) for a relaxed structure of Nd2Tm12Zr.

Geometry as POSCAR:
```
Nd2Tm12Zr
1.0
6.361 0.000 0.000
0.000 6.361 0.000
0.000 0.000 24.166
Nd Tm Zr
4 24 2
Direct
0.250 0.750 0.230 Nd
0.250 0.750 0.770 Nd
0.750 0.250 0.230 Nd
0.750 0.250 0.770 Nd
0.057 0.557 0.397 Tm
0.057 0.943 0.603 Tm
0.081 0.581 0.061 Tm
0.081 0.919 0.939 Tm
0.250 0.250 0.163 Tm
0.250 0.250 0.294 Tm
0.250 0.250 0.706 Tm
0.250 0.250 0.837 Tm
0.419 0.581 0.939 Tm
0.419 0.919 0.061 Tm
0.443 0.557 0.603 Tm
0.443 0.943 0.397 Tm
0.557 0.057 0.603 Tm
0.557 0.443 0.397 Tm
0.581 0.081 0.939 Tm
0.581 0.419 0.061 Tm
0.750 0.750 0.163 Tm
0.750 0.750 0.294 Tm
0.750 0.750 0.706 Tm
0.750 0.750 0.837 Tm
0.919 0.081 0.061 Tm
0.919 0.419 0.939 Tm
0.943 0.057 0.397 Tm
0.943 0.443 0.603 Tm
0.250 0.750 0.500 Zr
0.750 0.250 0.500 Zr
```


Number 1: DFT formation energy -0.232 eV/atom. Number 2: DFT formation energy -0.252 eV/atom. Number 3: DFT formation energy -0.237 eV/atom. Number 4: DFT formation energy 0.057 eV/atom. Number 5: DFT formation energy 0.046 eV/atom. Number 6: DFT formation energy -0.316 eV/atom. Number 7: DFT formation energy -0.052 eV/atom. Number 8: DFT formation energy -0.132 eV/atom. Number 9: DFT formation energy 0.012 eV/atom. Number 10: DFT formation energy -0.127 eV/atom. Number 11: DFT formation energy -0.323 eV/atom. Number 12: DFT formation energy -0.133 eV/atom. Number 13: DFT formation energy 0.159 eV/atom. Number 14: DFT formation energy 0.206 eV/atom. Number 15: DFT formation energy 0.074 eV/atom. Number 16: DFT formation energy 0.040 eV/atom. Number 17: DFT formation energy 0.039 eV/atom. Number 18: DFT formation energy 0.044 eV/atom. Number 19: DFT formation energy 0.049 eV/atom. Number 20: DFT formation energy 0.070 eV/atom. Number 21: DFT formation energy 0.107 eV/atom. Number 22: DFT formation energy 0.098 eV/atom. Number 23: DFT formation energy 0.099 eV/atom. Number 24: DFT formation energy 0.382 eV/atom.